1.
Density functional theory data (PBE-GGA) for crystalline BaInSe2N at its relaxed geometry.

- formation energy from raw total energies (eV per atom) = -0.295
- symmetry = P4/mmm (123)
- energy relative to the lowest polymorph listed for this composition (meV/atom) = 0
- total magnetization (μB/f.u.) = 2.00

Lattice parameters (Å, degrees): 5.511 5.511 4.371 90.00 90.00 90.00
Sites, in units of the cell vectors:
Ba: 0.000 0.000 0.000
In: 0.500 0.500 0.500
Se: 0.000 0.500 0.500
Se: 0.500 0.000 0.500
N: 0.500 0.500 0.000

2.
Density functional theory data (PBE-GGA) for crystalline CeSnHgPb at its relaxed geometry.

- symmetry = Pmmm (47)
- energy relative to the lowest polymorph listed for this composition (meV/atom) = 0
- total magnetization (μB/f.u.) = 0.88

Lattice parameters (Å, degrees): 4.591 4.808 4.877 90.00 90.00 90.00
Sites, in units of the cell vectors:
Ce: 0.000 0.000 0.000
Sn: 0.500 0.500 0.000
Hg: 0.000 0.500 0.500
Pb: 0.500 0.000 0.500

3.
Density functional theory data (PBE-GGA) for crystalline PrVSe3 at its relaxed geometry.

- formation energy from raw total energies (eV per atom) = -1.189
- symmetry = P2_1/c (14)
- total magnetization (μB/f.u.) = 2.00

Lattice parameters (Å, degrees): 8.103 6.332 9.433 90.00 98.05 90.00
Sites, in units of the cell vectors:
Pr: 0.158 0.234 0.170
Pr: 0.158 0.266 0.670
Pr: 0.842 0.734 0.330
Pr: 0.842 0.766 0.830
V: 0.406 0.745 0.584
V: 0.406 0.755 0.084
V: 0.594 0.245 0.916
V: 0.594 0.255 0.416
Se: 0.091 0.713 0.113
Se: 0.091 0.787 0.613
Se: 0.314 0.070 0.933
Se: 0.314 0.430 0.433
Se: 0.445 0.582 0.836
Se: 0.445 0.918 0.336
Se: 0.555 0.082 0.664
Se: 0.555 0.418 0.164
Se: 0.686 0.570 0.567
Se: 0.686 0.930 0.067
Se: 0.909 0.213 0.387
Se: 0.909 0.287 0.887